This record from Alexandria via LeMat-Bulk describes Na3Pr2ScSe6 after structural relaxation. The functional is GGA-PBE.

Calculated values
- M_tot (μB per atom) = 0.0000
- SG = C2/m, No. 12
- total energy (eV for the cell shown) = -60.31

The structure in POSCAR format:
```
Na3Pr2ScSe6
1.0
7.273 -0.003 -0.003
-3.637 6.298 -0.003
-1.216 -2.106 7.008
Se Na Sc Pr
6 3 1 2
direct
0.765 0.765 0.229 Se
0.923 0.610 0.769 Se
0.077 0.390 0.231 Se
0.390 0.077 0.231 Se
0.610 0.923 0.769 Se
0.235 0.235 0.771 Se
0.500 0.500 0.500 Na
0.832 0.168 0.500 Na
0.168 0.832 0.500 Na
0.000 0.000 0.000 Sc
0.666 0.334 0.000 Pr
0.334 0.666 0.000 Pr
```